A geometry-optimized KNi2H3Se2O10 structure, computed with GGA+U.

abc: 5.5824 5.5824 7.8477
angles: 108.95 108.95 70.93
Last column: nearest neighbours and their distance in Å.
Element x y z (fractional)
K (0.0000, 0.0000, 0.0000)  8 O 2.73-3.06
Ni (0.0011, 0.4948, 0.5024)  6 O 2.03-2.18
Ni (0.4948, 0.0011, 0.5024)  6 O 2.03-2.18
H (0.1794, 0.1794, 0.7101)  1 O 0.98
H (0.8160, 0.8160, 0.2861)  1 O 0.98
H (0.9820, 0.9820, 0.4886)  1 O 1.11
Se (0.4214, 0.4214, 0.2226)  4 O 1.64-1.72
Se (0.5778, 0.5778, 0.7786)  4 O 1.64-1.72
O (0.1476, 0.1476, 0.5754)  1 H 0.98
O (0.2506, 0.6790, 0.7261)  1 Se 1.68
O (0.3008, 0.3008, 0.0015)  1 Se 1.64
O (0.3080, 0.3080, 0.3531)  1 Se 1.72
O (0.3209, 0.7489, 0.2748)  1 Se 1.68
O (0.6790, 0.2506, 0.7261)  1 Se 1.68
O (0.6916, 0.6916, 0.6484)  1 Se 1.72
O (0.6988, 0.6988, 0.9999)  1 Se 1.64
O (0.7489, 0.3209, 0.2748)  1 Se 1.68
O (0.8491, 0.8491, 0.4215)  1 H 0.98

Output
- VASP energy: -5.09 eV per atom
- Space group: Cm (8)
- Total magnetic moment: 0.22 μB per atom